Here is a PBEsol-optimized structure of Cr2MoSe from Alexandria via LeMat-Bulk. Energies are from SCAN.

Properties
energy relative to the elements, uncorrected: 0.377 eV/atom
magnetic moment: 0.00 Bohr magnetons per cell
final energy: -22.556 eV/atom

Unit cell a=3.0154 b=4.0638 c=4.9397 alpha=114.29 beta=107.77 gamma=90.00
Closest atoms and distances in Å follow each position.
Sites, in units of the cell vectors:
Cr  0.7426  0.7426  0.4851  4 Cr 2.53, 2 Se 2.55, 2 Mo 2.65
Cr  0.2574  0.2574  0.5149  4 Cr 2.53, 2 Se 2.55, 2 Mo 2.65
Mo  0.5000  0.0000  0.0000  4 Se 2.53, 4 Cr 2.65
Se  0.0000  0.5000  0.0000  4 Mo 2.53, 4 Cr 2.55



Here is a PBEsol-optimized structure of KMg2Tl2 from Alexandria via LeMat-Bulk. Energies are from SCAN.

Properties
magnetic moment: 0.00 Bohr magnetons per cell
final energy: -32.773 eV/atom
ΔE_f: -0.175 eV/atom
energy above the lowest structure with this stoichiometry: 0.000 eV per atom

Unit cell a=4.8217 b=4.8217 c=7.2803 alpha=109.34 beta=109.34 gamma=90.00
Closest atoms and distances in Å follow each position.
Sites, in units of the cell vectors:
Mg  0.2500  0.7500  0.5000  4 Tl 2.97
Mg  0.7500  0.2500  0.5000  4 Tl 2.97
Tl  0.6158  0.6158  0.2315  4 Mg 2.97, 1 Tl 2.98
Tl  0.3842  0.3842  0.7685  4 Mg 2.97, 1 Tl 2.98
K  0.0000  0.0000  0.0000  8 Tl 3.72, 8 Mg 4.02



Here is a PBEsol-optimized structure of CaAu2Se from Alexandria via LeMat-Bulk. Energies are from SCAN.

Properties
energy relative to the elements, uncorrected: -0.819 eV/atom
magnetic moment: 0.00 Bohr magnetons per cell
final energy: -42.833 eV/atom

Unit cell a=3.9317 b=3.9317 c=5.6561 alpha=90.00 beta=90.00 gamma=90.00
Closest atoms and distances in Å follow each position.
Sites, in units of the cell vectors:
Au  0.5000  0.5000  0.1266  4 Au 2.78, 2 Se 2.82-2.83
Au  0.0000  0.0000  0.1236  4 Au 2.78, 2 Ca 2.82-2.83
Ca  0.0000  0.0000  0.6227  4 Se 2.78, 2 Au 2.82-2.83
Se  0.5000  0.5000  0.6272  4 Ca 2.78, 2 Au 2.82-2.83



Here is a PBEsol-optimized structure of CrAs4W from Alexandria via LeMat-Bulk. Energies are from SCAN.

Properties
magnetic moment: 3.67 Bohr magnetons per cell
final energy: -27.167 eV/atom
ΔE_f: 0.972 eV/atom

Unit cell a=5.2838 b=5.2838 c=5.2838 alpha=60.00 beta=60.00 gamma=60.00
Closest atoms and distances in Å follow each position.
Sites, in units of the cell vectors:
Cr  0.2500  0.2500  0.2500  12 As 3.10, 4 W 3.24
As  0.1233  0.6256  0.6256  6 As 2.63-2.65
As  0.6256  0.6256  0.6256  6 As 2.63-2.65
As  0.6256  0.1233  0.6256  6 As 2.63-2.65
As  0.6256  0.6256  0.1233  6 As 2.63-2.65
W  0.0000  0.0000  0.0000  12 As 3.10, 4 Cr 3.24